Record 1
Material: SrNi2As
Method: DFT, GGA-PBE
State: optimized geometry

The space group is P2/m (No. 10) and the conventional cell measures 4.618, 3.870 and 4.857 Å, with angles of 90.00, 90.08 and 90.00 degrees. Symmetry generates all atoms from Sr at (0.000, 0.000, 0.000), Ni at (0.499, 0.500, 0.756) and As at (0.500, 0.000, 0.500).

The value obtained for the formation energy is -0.30 eV per atom. Its energy is -19.1 eV per cell.

Record 2
Material: SrNi2As
Method: DFT, GGA-PBE
State: optimized geometry

The space group is P4mm (No. 99) and the conventional cell measures 3.296, 3.296 and 6.665 Å, with angles of 90.00, 90.00 and 90.00 degrees. Symmetry generates all atoms from Sr at (0.000, 0.000, 0.000), Ni at (0.000, 0.000, 0.506), Ni at (0.500, 0.500, 0.694) and As at (0.500, 0.500, 0.354).

The value obtained for the formation energy is -0.07 eV per atom. Its energy is -18.2 eV per cell.

Record 3
Material: SrNi6As2
Method: DFT, GGA-PBE
State: optimized geometry

The space group is P4/mmm (No. 123) and the conventional cell measures 3.926, 3.926 and 8.861 Å, with angles of 90.00, 90.00 and 90.00 degrees. Symmetry generates all atoms from Sr at (0.000, 0.000, 0.000), Ni at (0.000, 0.000, 0.500), Ni at (0.000, 0.500, 0.331), Ni at (0.500, 0.500, 0.500) and As at (0.500, 0.500, 0.191).

The value obtained for the formation energy is -0.31 eV per atom. Its energy is -48.5 eV per cell.

Record 4
Material: Sr3NiAs3
Method: DFT, GGA-PBE
State: optimized geometry

The space group is Cmce (No. 64) and the conventional cell measures 19.012, 6.466 and 12.694 Å, with angles of 90.00, 90.00 and 90.00 degrees. Symmetry generates all atoms from Sr at (0.000, 0.177, 0.148), Sr at (0.175, 0.197, 0.871), Ni at (0.078, 0.000, 0.500), As at (0.000, 0.195, 0.399) and As at (0.156, 0.193, 0.616).

The value obtained for the formation energy is -0.89 eV per atom. Its energy is -247.8 eV per cell.

Record 5
Material: SrNiAs
Method: DFT, GGA-PBE
State: optimized geometry

The space group is P-6m2 (No. 187) and the conventional cell measures 4.0957, 4.0957 and 4.5424 Å, with angles of 90.00, 90.00 and 120.00 degrees. Symmetry generates all atoms from Sr at (0.0000, 0.0000, 0.0000), Ni at (0.3333, 0.6667, 0.5000) and As at (0.6667, 0.3333, 0.5000).

The value obtained for the formation energy is -0.79 eV per atom. Its energy is -14.5 eV per cell.

Record 6
Material: Sr4NiAs4
Method: DFT, GGA-PBE
State: optimized geometry

The space group is P4_2/nmc (No. 137, origin choice 2) and the conventional cell measures 8.971, 8.971 and 6.459 Å, with angles of 90.00, 90.00 and 90.00 degrees. Symmetry generates all atoms from Sr at (0.017, 0.250, 0.066), Ni at (0.250, 0.750, 0.250) and As at (0.025, 0.750, 0.438).

The value obtained for the formation energy is -0.89 eV per atom. Its energy is -78.2 eV per cell.

Question: energy of number 2 (SrNi2As)?
Answer: -18.2 eV per cell

Question: Look up the energy of the second one.
Answer: -18.2 eV per cell

Question: What is the formula in the sixth record?
Answer: Sr4NiAs4

Question: Number 5 is which compound?
Answer: SrNiAs